# GGA-PBE Mn2ReAu, optimized geometry
data_Mn2ReAu
_space_group_name_H-M_alt 'P 1'
_space_group_IT_number 1
_cell_length_a 4.7660
_cell_length_b 4.7660
_cell_length_c 4.6441
_cell_angle_alpha 80.55
_cell_angle_beta 80.55
_cell_angle_gamma 34.28
loop_
_space_group_symop_operation_xyz
'x,y,z'
loop_
_atom_site_label
_atom_site_type_symbol
_atom_site_fract_x
_atom_site_fract_y
_atom_site_fract_z
Au1 Au 0.2490 0.2490 0.2311
Mn1 Mn 0.9994 0.9994 0.0073
Mn2 Mn 0.7542 0.7542 0.7264
Re1 Re 0.4974 0.4974 0.5351
# N(E_F) ... 1.03 states/eV/atom
# Space group ... Cm
# Electronic total energy ... -8.23 eV/atom
# Spin magnetization ... 1.26 μB per atom
# Formation enthalpy at 0 K ... 1.153 eV per formula unit
# Energy relative to the lowest polymorph listed for this composition ... 162.8 meV per atom

# GGA-PBE MnReAu2, optimized geometry
data_MnReAu2
_space_group_name_H-M_alt 'P 1'
_space_group_IT_number 1
_cell_length_a 2.8093
_cell_length_b 2.8093
_cell_length_c 8.2095
_cell_angle_alpha 90.00
_cell_angle_beta 90.00
_cell_angle_gamma 90.00
loop_
_space_group_symop_operation_xyz
'x,y,z'
loop_
_atom_site_label
_atom_site_type_symbol
_atom_site_fract_x
_atom_site_fract_y
_atom_site_fract_z
Au1 Au 0.0000 0.0000 0.0061
Au2 Au 0.0000 0.0000 0.4939
Mn1 Mn 0.5000 0.5000 0.2500
Re1 Re 0.5000 0.5000 0.7500
# N(E_F) ... 0.91 states/eV/atom
# Space group ... P4/mmm
# Electronic total energy ... -6.65 eV/atom
# Spin magnetization ... 0.92 μB per atom
# Formation enthalpy at 0 K ... 1.563 eV per formula unit
# Energy relative to the lowest polymorph listed for this composition ... 189.8 meV per atom

> formation enthalpy at 0 K of number 1 (Mn2ReAu)?

1.153 eV per formula unit

> Which of these has the lowest N(E_F)?

MnReAu2

> What is the formation enthalpy at 0 K in the first record?

1.153 eV per formula unit

> Among the records above, which one has the highest electronic total energy?

MnReAu2